The following is a DFT calculation (GGA-PBE) of HoThGe after structural relaxation.

Summary:
energy of formation = -0.33 eV per atom
DOS at the Fermi energy = 4.41 states/eV/cell
ΔE to the lowest computed polymorph = 0.000 eV/atom

Unit cell a=4.0763 b=4.0763 c=6.7368 alpha=72.39 beta=72.39 gamma=60.00
Positions (direct):
1 Ge 0.3541 0.3541 0.9377
2 Th 0.1159 0.1159 0.6524
3 Ho 0.6036 0.6036 0.1893

The following is a DFT calculation (GGA-PBE) of NaScAgS2 after structural relaxation.

Summary:
DOS at the Fermi energy = 4.74 states/eV/cell
ΔE_f (raw) = -0.98 eV/atom

Unit cell a=5.0298 b=6.6886 c=6.9976 alpha=99.11 beta=90.00 gamma=90.00
Positions (direct):
1 Na 0.1841 0.5000 0.7500
2 Na 0.8159 0.5000 0.2500
3 Sc 0.4944 0.0000 0.2500
4 Sc 0.5056 0.0000 0.7500
5 Ag 0.0000 0.0000 0.0000
6 Ag 0.0000 0.0000 0.5000
7 S 0.6350 0.7431 0.9623
8 S 0.6350 0.2569 0.5377
9 S 0.3650 0.7431 0.4623
10 S 0.3650 0.2569 0.0377

The following is a DFT calculation (GGA-PBE) of LaTlHgBr after structural relaxation.

Summary:
DOS at the Fermi energy = 2.96 states/eV/cell
ΔE_f (raw) = -0.64 eV/atom

Unit cell a=5.3936 b=5.3936 c=5.3936 alpha=60.00 beta=60.00 gamma=60.00
Positions (direct):
1 Tl 0.5000 0.5000 0.5000
2 Hg 0.7500 0.7500 0.7500
3 Br 0.2500 0.2500 0.2500
4 La 0.0000 0.0000 0.0000

The following is a DFT calculation (GGA-PBE) of TlSb3As after structural relaxation.

Summary:
DOS at the Fermi energy = 6.74 states/eV/cell
ΔE_f (raw) = 1.18 eV/atom
ΔE to the lowest computed polymorph = 0.702 eV/atom

Unit cell a=5.6243 b=5.6243 c=5.6243 alpha=90.00 beta=90.00 gamma=90.00
Positions (direct):
1 Sb 0.0000 0.5000 0.0000
2 Sb 0.0000 0.0000 0.5000
3 Sb 0.5000 0.0000 0.0000
4 Tl 0.0000 0.0000 0.0000
5 As 0.5000 0.5000 0.5000

The following is a DFT calculation (GGA-PBE) of KTl3In after structural relaxation.

Summary:
energy of formation = -0.06 eV per atom
DOS at the Fermi energy = 3.61 states/eV/cell
ΔE to the lowest computed polymorph = 0.005 eV/atom

Unit cell a=5.2122 b=8.8766 c=8.0185 alpha=110.39 beta=90.00 gamma=90.00
Positions (direct):
1 K 0.7500 0.2634 0.0284
2 K 0.2500 0.7366 0.9716
3 Tl 0.2500 0.1517 0.2699
4 Tl 0.7500 0.8483 0.7301
5 Tl 0.7500 0.4571 0.6031
6 Tl 0.2500 0.5429 0.3969
7 Tl 0.2500 0.3054 0.7329
8 Tl 0.7500 0.6946 0.2671
9 In 0.2500 0.9266 0.5566
10 In 0.7500 0.0734 0.4434

The following is a DFT calculation (GGA-PBE) of RbH2F2 after structural relaxation.

Summary:
DOS at the Fermi energy = 0.00 states/eV/cell
ΔE to the lowest computed polymorph = 0.000 eV/atom

Unit cell a=4.3659 b=6.8435 c=5.9062 alpha=91.09 beta=116.54 gamma=77.11
Positions (direct):
1 Rb 0.5425 0.7693 0.7862
2 Rb 0.4575 0.2307 0.2138
3 H 0.0791 0.4673 0.5546
4 H 0.2040 0.7976 0.2069
5 H 0.9209 0.5327 0.4454
6 H 0.7960 0.2024 0.7931
7 F 0.0814 0.9461 0.2716
8 F 0.3144 0.6560 0.1431
9 F 0.9186 0.0539 0.7284
10 F 0.6856 0.3440 0.8569

The following is a DFT calculation (GGA-PBE) of RbCrCu2H after structural relaxation.

Summary:
DOS at the Fermi energy = 1.90 states/eV/cell
ΔE to the lowest computed polymorph = 1.135 eV/atom

Unit cell a=6.3424 b=6.9473 c=6.3424 alpha=90.00 beta=90.00 gamma=90.00
Positions (direct):
1 Cr 0.0000 0.5000 0.0000
2 Cu 0.0000 0.0000 0.5000
3 Cu 0.5000 0.0000 0.0000
4 Rb 0.0000 0.0000 0.0000
5 H 0.5000 0.5000 0.5000

The following is a DFT calculation (GGA-PBE) of Li2YAg after structural relaxation.

Summary:
energy of formation = 0.06 eV per atom
DOS at the Fermi energy = 2.15 states/eV/cell
ΔE to the lowest computed polymorph = 0.153 eV/atom

Unit cell a=9.8649 b=9.8649 c=9.8649 alpha=18.87 beta=18.87 gamma=18.87
Positions (direct):
1 Ag 0.7500 0.7500 0.7500
2 Li 0.0139 0.0139 0.0139
3 Li 0.4861 0.4861 0.4861
4 Y 0.2500 0.2500 0.2500

The following is a DFT calculation (GGA-PBE) of AcIn2F8 after structural relaxation.

Summary:
DOS at the Fermi energy = 2.08 states/eV/cell
ΔE_f (raw) = -2.87 eV/atom
ΔE to the lowest computed polymorph = 0.061 eV/atom

Unit cell a=4.3675 b=7.3508 c=7.3591 alpha=120.01 beta=90.02 gamma=90.03
Positions (direct):
1 Ac 0.0000 0.0000 0.0000
2 F 0.2180 0.6667 0.3333
3 F 0.7820 0.3333 0.6666
4 F 0.7268 0.8327 0.1653
5 F 0.2729 0.1655 0.3328
6 F 0.2736 0.6675 0.8329
7 F 0.2732 0.1673 0.8346
8 F 0.7271 0.8345 0.6672
9 F 0.7264 0.3325 0.1671
10 In 0.2844 0.3332 0.6666
11 In 0.7156 0.6668 0.3334

The following is a DFT calculation (GGA-PBE) of Be2ReAsPt after structural relaxation.

Summary:
energy of formation = 0.90 eV per atom
DOS at the Fermi energy = 3.27 states/eV/cell

Unit cell a=4.2651 b=4.6354 c=4.2651 alpha=90.00 beta=90.00 gamma=90.00
Positions (direct):
1 Re 0.0000 0.0000 0.0000
2 As 0.0000 0.5000 0.0000
3 Pt 0.5000 0.5000 0.5000
4 Be 0.0000 0.0000 0.5000
5 Be 0.5000 0.0000 0.0000

The following is a DFT calculation (GGA-PBE) of Ag8Br3Cl8 after structural relaxation.

Summary:
DOS at the Fermi energy = 7.77 states/eV/cell
ΔE_f (raw) = -0.36 eV/atom

Unit cell a=5.0732 b=10.7365 c=10.7442 alpha=115.14 beta=103.66 gamma=90.00
Positions (direct):
1 Ag 0.0968 0.9216 0.1936
2 Ag 0.9032 0.0784 0.8064
3 Ag 0.1898 0.3600 0.3797
4 Ag 0.8102 0.6400 0.6203
5 Ag 0.3627 0.3095 0.7253
6 Ag 0.6373 0.6905 0.2747
7 Ag 0.4580 0.7261 0.9160
8 Ag 0.5420 0.2739 0.0840
9 Br 0.5000 0.5000 0.0000
10 Br 0.2234 0.1454 0.4468
11 Br 0.7766 0.8546 0.5532
12 Cl 0.0482 0.2216 0.0964
13 Cl 0.9518 0.7784 0.9036
14 Cl 0.3231 0.5585 0.6462
15 Cl 0.6769 0.4415 0.3538
16 Cl 0.4154 0.0718 0.8307
17 Cl 0.5846 0.9282 0.1693
18 Cl 0.1343 0.7029 0.2686
19 Cl 0.8657 0.2971 0.7314